(1)
# CdAg2Pd2, optimized geometry, DFT PBE
data_CdAg2Pd2
_chemical_formula_sum 'Cd2 Ag4 Pd4'
_symmetry_space_group_name_H-M 'P 4/m b m'
_symmetry_Int_Tables_number 127
_symmetry_space_group_name_Hall '-P 4 2ab'
_cell_length_a 7.0074
_cell_length_b 7.0074
_cell_length_c 3.7967
_cell_angle_alpha 90.00
_cell_angle_beta 90.00
_cell_angle_gamma 90.00
loop_
_atom_site_label
_atom_site_fract_x
_atom_site_fract_y
_atom_site_fract_z
Cd1 0.0000 0.0000 0.0000
Ag1 0.1604 0.3396 0.5000
Pd1 0.1363 0.6363 0.0000
# **Total magnetic moment**: 0.00 μB/f.u.
# **Offset from the most stable computed form**: 0.125 eV per atom
# **Energy relative to the elements**: -0.04 eV per atom

(2)
# Cd2AgPd3, optimized geometry, DFT PBE
data_Cd2AgPd3
_chemical_formula_sum 'Cd4 Ag2 Pd6'
_symmetry_space_group_name_H-M 'C m m m'
_symmetry_Int_Tables_number 65
_symmetry_space_group_name_Hall '-C 2 2'
_cell_length_a 4.3287
_cell_length_b 12.9756
_cell_length_c 3.6671
_cell_angle_alpha 90.00
_cell_angle_beta 90.00
_cell_angle_gamma 90.00
loop_
_atom_site_label
_atom_site_fract_x
_atom_site_fract_y
_atom_site_fract_z
Cd1 0.0000 0.1630 0.0000
Ag1 0.0000 0.5000 0.0000
Pd1 0.0000 0.0000 0.5000
Pd2 0.0000 0.3314 0.5000
# **Total magnetic moment**: 0.00 μB/f.u.
# **Offset from the most stable computed form**: 0.000 eV per atom
# **Energy relative to the elements**: -0.31 eV per atom

(3)
# Cd5Ag2Pd12, optimized geometry, DFT PBE
data_Cd5Ag2Pd12
_chemical_formula_sum 'Cd10 Ag4 Pd24'
_symmetry_space_group_name_H-M 'C 1 2/m 1'
_symmetry_Int_Tables_number 12
_cell_length_a 15.4348
_cell_length_b 5.4866
_cell_length_c 8.9482
_cell_angle_alpha 90.00
_cell_angle_beta 106.32
_cell_angle_gamma 90.00
loop_
_symmetry_equiv_pos_as_xyz
'x,y,z'
'-x,-y,-z'
'-x,y,-z'
'x,-y,z'
'x+1/2,y+1/2,z'
'-x+1/2,-y+1/2,-z'
'-x+1/2,y+1/2,-z'
'x+1/2,-y+1/2,z'
loop_
_atom_site_label
_atom_site_fract_x
_atom_site_fract_y
_atom_site_fract_z
Cd1 0.0000 0.0000 0.0000
Cd2 0.1290 0.5000 0.3665
Cd3 0.1952 0.5000 0.8765
Ag1 0.0000 0.2470 0.5000
Pd1 0.0202 0.5000 0.8637
Pd2 0.1181 0.0000 0.8108
Pd3 0.1510 0.2542 0.1118
Pd4 0.2056 0.2411 0.6199
# **Total magnetic moment**: 0.00 μB/f.u.
# **Energy relative to the elements**: 0.02 eV per atom

(4)
# CdAg3Pd4, optimized geometry, DFT PBE
data_CdAg3Pd4
_chemical_formula_sum 'Cd2 Ag6 Pd8'
_symmetry_space_group_name_H-M 'I 4/m m m'
_symmetry_Int_Tables_number 139
_symmetry_space_group_name_Hall '-I 4 2'
_cell_length_a 4.1446
_cell_length_b 4.1446
_cell_length_c 15.5983
_cell_angle_alpha 90.00
_cell_angle_beta 90.00
_cell_angle_gamma 90.00
loop_
_atom_site_label
_atom_site_fract_x
_atom_site_fract_y
_atom_site_fract_z
Cd1 0.0000 0.0000 0.0000
Ag1 0.0000 0.0000 0.2500
Ag2 0.0000 0.0000 0.5000
Pd1 0.0000 0.5000 0.1249
# **Total magnetic moment**: 0.00 μB/f.u.
# **Offset from the most stable computed form**: 0.000 eV per atom
# **Energy relative to the elements**: -0.13 eV per atom

- total magnetic moment of number 3 (Cd5Ag2Pd12)?
  0.00 μB/f.u.